[1]
TlPd2Pt: optimized geometry, PBEsol.

Calculated density (g/cm³): 15.69
Crystal system: cubic
Calculated formation energy (meV/atom): -118
Raw total energy (eV/atom): -5.4958

Cell: 4.5088 4.5088 4.5088 Å, 60.00 60.00 60.00°
Fractional coordinates of all 4 atoms:
Tl (0.5000, 0.5000, 0.5000)
Pt (0.0000, 0.0000, 0.0000)
Pd (0.2500, 0.2500, 0.2500)
Pd (0.7500, 0.7500, 0.7500)

---

[2]
ZnAu4: optimized geometry, PBEsol.

Calculated density (g/cm³): 17.28
Crystal system: trigonal
Calculated formation energy (meV/atom): -69
Raw total energy (eV/atom): -3.5247

Cell: 2.9091 2.9091 11.3135 Å, 82.61 82.61 60.00°
Fractional coordinates of all 5 atoms:
Zn (0.0000, 0.0000, 0.0000)
Au (0.3950, 0.3950, 0.8151)
Au (0.7986, 0.7986, 0.6041)
Au (0.2014, 0.2014, 0.3959)
Au (0.6050, 0.6050, 0.1849)

---

[3]
ZnInBr4: optimized geometry, PBEsol.

Calculated density (g/cm³): 4.91
Crystal system: cubic
ΔE_f (raw) (meV per atom): 315
Raw total energy (eV/atom): -1.6926

Cell: 6.2076 6.2076 6.2076 Å, 60.00 60.00 60.00°
Fractional coordinates of all 6 atoms:
Br (0.3742, 0.3742, 0.3742)
Br (0.3742, 0.3742, 0.8775)
Br (0.8775, 0.3742, 0.3742)
Br (0.3742, 0.8775, 0.3742)
In (0.7500, 0.7500, 0.7500)
Zn (0.0000, 0.0000, 0.0000)

---

[4]
NiSnSeN2: optimized geometry, PBEsol.

Calculated density (g/cm³): 6.55
Crystal system: tetragonal
ΔE_f (raw) (meV per atom): 978
Raw total energy (eV/atom): -5.2864

Cell: 3.8512 3.8512 4.8576 Å, 90.00 90.00 90.00°
Fractional coordinates of all 5 atoms:
Ni (0.0000, 0.0000, 0.0000)
Sn (0.5000, 0.5000, 0.5000)
Se (0.0000, 0.0000, 0.5000)
N (0.0000, 0.5000, 0.0000)
N (0.5000, 0.0000, 0.0000)

---

Which of these has the highest calculated density?
ZnAu4

---

What is the formula in the second record?
ZnAu4